(1)
Ac3Sb2O | PBE | relaxed

```
data_Ac3Sb2O
_space_group_name_H-M_alt 'P 63/m c m'
_space_group_IT_number 193
_space_group_name_Hall '-P 6c 2'
_cell_length_a 7.6410
_cell_length_b 7.6410
_cell_length_c 8.5288
_cell_angle_alpha 90.00
_cell_angle_beta 90.00
_cell_angle_gamma 120.00
loop_
_atom_site_label
_atom_site_fract_x
_atom_site_fract_y
_atom_site_fract_z
Ac1 0.0000 0.3161 0.2500
Sb1 0.3333 0.6667 0.0000
O1 0.0000 0.0000 0.2500
```

Calculated values
For the uncorrected formation energy, the calculation gives -1606 meV/atom. Its energy above the most stable polymorph in this dataset is 123.9 meV per atom.



(2)
ScSb4P | PBE | relaxed

```
data_ScSb4P
_space_group_name_H-M_alt 'F -4 3 m'
_space_group_IT_number 216
_space_group_name_Hall 'F -4 2 3'
_cell_length_a 8.611
_cell_length_b 8.611
_cell_length_c 8.611
_cell_angle_alpha 90.00
_cell_angle_beta 90.00
_cell_angle_gamma 90.00
loop_
_atom_site_label
_atom_site_fract_x
_atom_site_fract_y
_atom_site_fract_z
Sc1 0.000 0.000 0.000
Sb1 0.125 0.125 0.375
P1 0.250 0.250 0.750
```

Calculated values
For the uncorrected formation energy, the calculation gives 399 meV/atom.



(3)
Rb2UPbSe4 | PBE | relaxed

```
data_Rb2UPbSe4
_space_group_name_H-M_alt 'P 1 2/m 1'
_space_group_IT_number 10
_space_group_name_Hall '-P 2y'
_cell_length_a 7.681
_cell_length_b 4.371
_cell_length_c 8.288
_cell_angle_alpha 90.00
_cell_angle_beta 107.26
_cell_angle_gamma 90.00
loop_
_atom_site_label
_atom_site_fract_x
_atom_site_fract_y
_atom_site_fract_z
Rb1 0.000 0.000 0.000
Rb2 0.500 0.500 0.000
U1 0.000 0.500 0.500
Pb1 0.500 0.000 0.500
Se1 0.213 0.000 0.695
Se2 0.239 0.500 0.300
```

Calculated values
For the uncorrected formation energy, the calculation gives -1100 meV/atom.